Below is a geometry-optimized NaVW2 structure, with properties calculated at the PBE-GGA level.

a = 4.4720 Å, b = 4.4720 Å, c = 4.4720 Å
α = 60.00°, β = 60.00°, γ = 60.00°
With the nearest neighbours (Å) after each atom.
Fractional coordinates of all 4 atoms:
1 Na 0.0000 0.0000 0.0000  8 W 2.74
2 V 0.5000 0.5000 0.5000  8 W 2.74
3 W 0.2500 0.2500 0.2500  4 Na 2.74, 4 V 2.74
4 W 0.7500 0.7500 0.7500  4 Na 2.74, 4 V 2.74

* space-group type: Fm-3m
* energy of formation: 1.112 eV per atom
* total magnetization: 0.00 Bohr magnetons per cell
* offset from the most stable computed form: 3.39 eV/f.u.



Below is a geometry-optimized ErGa2AgAu2 structure, with properties calculated at the PBE-GGA level.

a = 4.5267 Å, b = 4.5267 Å, c = 6.4907 Å
α = 90.00°, β = 90.00°, γ = 120.00°
With the nearest neighbours (Å) after each atom.
Fractional coordinates of all 6 atoms:
1 Er 0.0000 0.0000 0.0000  6 Au 3.10, 6 Ga 3.18, 2 Ag 3.25
2 Ga 0.3333 0.6667 0.2783  3 Au 2.62
3 Ga 0.6667 0.3333 0.7217  3 Au 2.62
4 Ag 0.0000 0.0000 0.5000  6 Ga 2.98, 6 Au 3.05, 2 Er 3.25
5 Au 0.3333 0.6667 0.7431  3 Ga 2.62
6 Au 0.6667 0.3333 0.2569  3 Ga 2.62

* space-group type: P-3m1
* energy of formation: -0.492 eV per atom
* total magnetization: 0.00 Bohr magnetons per cell



Below is a geometry-optimized HfAsRh2 structure, with properties calculated at the PBE-GGA level.

a = 9.0477 Å, b = 9.0477 Å, c = 9.0477 Å
α = 154.19°, β = 154.19°, γ = 36.83°
With the nearest neighbours (Å) after each atom.
Fractional coordinates of all 8 atoms:
1 Hf 0.0000 0.0000 0.0000  4 Rh 2.61, 4 As 2.86
2 Hf 0.7500 0.2500 0.5000  4 Rh 2.61, 4 As 2.86
3 As 0.2500 0.7500 0.5000  4 Rh 2.55
4 As 0.5000 0.5000 0.0000  4 Rh 2.55
5 Rh 0.1460 0.6250 0.0210  2 As 2.55, 2 Hf 2.61, 2 Rh 2.74
6 Rh 0.3750 0.3960 0.5210  2 As 2.55, 2 Hf 2.61, 2 Rh 2.74
7 Rh 0.6040 0.1250 0.9790  2 As 2.55, 2 Hf 2.61, 2 Rh 2.74
8 Rh 0.8750 0.8540 0.4790  2 As 2.55, 2 Hf 2.61, 2 Rh 2.74

* space-group type: I-42d
* energy of formation: -0.445 eV per atom
* total magnetization: 0.00 Bohr magnetons per cell



Below is a geometry-optimized KNiMo2 structure, with properties calculated at the PBE-GGA level.

a = 5.7480 Å, b = 5.7480 Å, c = 5.7480 Å
α = 141.87°, β = 141.87°, γ = 55.02°
With the nearest neighbours (Å) after each atom.
Fractional coordinates of all 4 atoms:
1 K 0.0000 0.0000 0.0000  4 Ni 2.66
2 Ni 0.5000 0.5000 0.0000  4 K 2.66
3 Mo 0.2500 0.7500 0.5000  4 Mo 2.66
4 Mo 0.7500 0.2500 0.5000  4 Mo 2.66

* space-group type: I4/mmm
* energy of formation: 1.449 eV per atom
* total magnetization: 0.00 Bohr magnetons per cell
* offset from the most stable computed form: 3.13 eV/f.u.